(1)
DFT (PBE) results for an optimized crystal structure of CaPm2Y.

Cell lengths 3.6594, 3.6594, 10.5462 Å; angles 90.00, 90.00, 90.00 degrees
Positions (direct):
1 Y 0.5000 0.5000 0.0000
2 Pm 0.0000 0.0000 0.2352
3 Pm 0.0000 0.0000 0.7648
4 Ca 0.5000 0.5000 0.5000

Calculated values
- Space-group type: No. 123
- E above lowest polymorph: 11 meV per atom
- DOS(E_F): 1.47 states/eV/atom
- VASP energy: -4.441 eV per atom
- Energy relative to the elements: 0.051 eV/atom
- Crystal system: tetragonal

(2)
DFT (PBE) results for an optimized crystal structure of Ca2PmY.

Cell lengths 3.7035, 6.3835, 9.6028 Å; angles 48.33, 112.71, 90.01 degrees
Positions (direct):
1 Ca 0.6747 0.5238 0.6847
2 Ca 0.1745 0.0226 0.6848
3 Pm 0.1751 0.6899 0.1847
4 Y 0.6747 0.1897 0.1846

Calculated values
- Space-group type: No. 25
- E above lowest polymorph: 0 meV per atom
- DOS(E_F): 1.67 states/eV/atom
- VASP energy: -3.698 eV per atom
- Energy relative to the elements: 0.106 eV/atom
- Crystal system: orthorhombic